1.
# Pr3SmSb3

Pr3SmSb3 after structural relaxation (PBE-GGA, the Alexandria database).

a = 8.3328 Å, b = 8.3328 Å, c = 8.3328 Å
α = 68.05°, β = 68.05°, γ = 68.05°
With the nearest neighbours (Å) after each atom.
Positions (direct):
Pr: 0.0934 0.3511 0.8187  5 Sb 3.17-3.35
Pr: 0.1813 0.9066 0.6489  5 Sb 3.17-3.35
Pr: 0.3511 0.8187 0.0934  5 Sb 3.17-3.35
Pr: 0.6489 0.1813 0.9066  5 Sb 3.17-3.35
Pr: 0.8187 0.0934 0.3511  5 Sb 3.17-3.35
Pr: 0.9066 0.6489 0.1813  5 Sb 3.17-3.35
Sm: 0.3330 0.3330 0.3330  6 Sb 3.22-3.30
Sm: 0.6670 0.6670 0.6670  6 Sb 3.22-3.30
Sb: 0.0728 0.6966 0.4651  5 Pr 3.17-3.35, 2 Sm 3.22-3.30
Sb: 0.3034 0.5349 0.9272  5 Pr 3.17-3.35, 2 Sm 3.22-3.30
Sb: 0.4651 0.0728 0.6966  5 Pr 3.17-3.35, 2 Sm 3.22-3.30
Sb: 0.5349 0.9272 0.3034  5 Pr 3.17-3.35, 2 Sm 3.22-3.30
Sb: 0.6966 0.4651 0.0728  5 Pr 3.17-3.35, 2 Sm 3.22-3.30
Sb: 0.9272 0.3034 0.5349  5 Pr 3.17-3.35, 2 Sm 3.22-3.30

## Properties
magnetization: 0.000 μB/atom
SG: R-3, No. 148

=====

2.
# PrSmSb

PrSmSb after structural relaxation (PBE-GGA, the Alexandria database).

a = 4.1657 Å, b = 4.1657 Å, c = 10.2287 Å
α = 90.00°, β = 90.00°, γ = 90.00°
With the nearest neighbours (Å) after each atom.
Positions (direct):
Pr: 0.2500 0.2500 0.0985  1 Sm 3.13, 4 Sb 3.36
Pr: 0.7500 0.7500 0.9015  1 Sm 3.13, 4 Sb 3.36
Sm: 0.2500 0.2500 0.4046  1 Pr 3.13, 5 Sb 3.31-3.46
Sm: 0.7500 0.7500 0.5954  1 Pr 3.13, 5 Sb 3.31-3.46
Sb: 0.2500 0.2500 0.7424  5 Sm 3.31-3.46, 5 Pr 3.36-3.64
Sb: 0.7500 0.7500 0.2576  5 Sm 3.31-3.46, 5 Pr 3.36-3.64

## Properties
magnetization: 0.000 μB/atom
SG: P4/nmm, No. 129

=====

3.
# Pr2Sm3Sb2

Pr2Sm3Sb2 after structural relaxation (PBE-GGA, the Alexandria database).

a = 6.5721 Å, b = 6.5721 Å, c = 8.8302 Å
α = 107.91°, β = 107.91°, γ = 38.80°
With the nearest neighbours (Å) after each atom.
Positions (direct):
Pr: 0.1370 0.1370 0.2981  3 Sb 3.25-3.45, 2 Sm 3.58
Pr: 0.8630 0.8630 0.7019  3 Sb 3.25-3.45, 2 Sm 3.58
Sm: 0.3727 0.3727 0.0506  3 Sb 3.25-3.28, 3 Sm 3.55-3.61
Sm: 0.5000 0.5000 0.5000  4 Sb 3.15
Sm: 0.6273 0.6273 0.9494  3 Sb 3.25-3.28, 3 Sm 3.55-3.61
Sb: 0.1694 0.1694 0.7017  5 Sm 3.15-3.28, 3 Pr 3.25-3.45
Sb: 0.8306 0.8306 0.2983  5 Sm 3.15-3.28, 3 Pr 3.25-3.45

## Properties
magnetization: 0.000 μB/atom
SG: C2/m, No. 12

=====

no.,DFT total energy (eV/atom),ρ (g/cm3),uncorrected formation energy (eV per atom)
1,-5.45,6.51,-0.957
2,-5.22,7.73,-0.682
3,-5.22,7.18,-0.659